In2NiMoF at its PBEsol-relaxed geometry. Source: the Alexandria database, functional SCAN.

Total energy = -120.97 eV per cell
Magnetic moment = 0.5262 μB per atom
Space-group type = P4/mmm
D(E_F) = 2.13 states/eV/cell

Cell lengths 3.484, 5.034, 5.034 Å; angles 90.00, 90.00, 90.00 degrees
Last column: magnetic moment on the atom in μB.
Element x y z (fractional)
Ni (0.000, 0.000, 0.000)  0.54
Mo (0.500, 0.500, 0.500)  2.22
F (0.500, 0.000, 0.000)  -0.01
In (0.000, 0.000, 0.500)  -0.12
In (0.000, 0.500, 0.000)  -0.12